A plane-wave DFT calculation with GGA-PBE was carried out for an optimized crystal structure of BaCoSi2.

```
BaCoSi2
1.0
-2.5664 1.8499 0.2646
-1.2182 -1.3153 -2.6204
-3.2937 -5.1588 4.1208
Si Co Ba
2 1 1
direct
0.0000 0.0000 0.5881
0.0000 0.0000 0.9119
0.5000 0.5000 0.7500
0.5000 0.5000 0.2500
```

Values from the calculation:
E_form (uncorrected): 0.008 eV per atom
crystal system: tetragonal
DFT total energy: -0.1823 Ha/atom
space-group type: P4/mmm